A plane-wave DFT calculation with GGA-PBE was carried out for a relaxed Li2PmAs2Pd2 crystal.

Calculated values
M_tot in Bohr magnetons per cell: 0.00
DOS at the Fermi energy in states/eV/cell: 2.27
Formation enthalpy at 0 K in eV/atom: -0.897
V in Å³/cell: 124.4

Cell lengths 8.1563, 8.1563, 8.1563 Å; angles 30.56, 30.56, 30.56 degrees
With the nearest neighbours (Å) after each atom.
Element x y z (fractional)
Li (0.1413, 0.1413, 0.1413)  4 As 2.61-2.86, 3 Pd 2.71, 3 Li 2.75
Li (0.8587, 0.8587, 0.8587)  4 As 2.61-2.86, 3 Pd 2.71, 3 Li 2.75
Pm (0.0000, 0.0000, 0.0000)  6 As 3.11, 2 Li 3.29, 6 Pd 3.31
As (0.2533, 0.2533, 0.2533)  3 Pd 2.50, 1 Li 2.61
As (0.7467, 0.7467, 0.7467)  3 Pd 2.50, 1 Li 2.61
Pd (0.4276, 0.4276, 0.4276)  3 As 2.50, 3 Li 2.71
Pd (0.5724, 0.5724, 0.5724)  3 As 2.50, 3 Li 2.71


A plane-wave DFT calculation with GGA-PBE was carried out for a relaxed Ta2AlV crystal.

Calculated values
M_tot in Bohr magnetons per cell: 0.00
DOS at the Fermi energy in states/eV/cell: 1.97
Formation enthalpy at 0 K in eV/atom: -0.105
V in Å³/cell: 65.4

Cell lengths 4.3264, 4.3264, 3.4930 Å; angles 90.00, 90.00, 90.00 degrees
With the nearest neighbours (Å) after each atom.
Element x y z (fractional)
Ta (0.0000, 0.5000, 0.0000)  4 Al 2.78, 4 V 2.78, 4 Ta 3.06
Ta (0.5000, 0.0000, 0.0000)  4 Al 2.78, 4 V 2.78, 4 Ta 3.06
Al (0.0000, 0.0000, 0.5000)  8 Ta 2.78, 4 V 3.06
V (0.5000, 0.5000, 0.5000)  8 Ta 2.78, 4 Al 3.06